<a>
The following is a DFT calculation (PBE) of a relaxed structure of ScPaV2.

abc: 4.7506 4.7506 3.3896
angles: 90.00 90.00 90.00
Last column: nearest neighbours and their distance in Å.
Fractional positions:
Sc: 0.0000 0.0000 0.0000  8 V 2.92
Pa: 0.5000 0.5000 0.0000  8 V 2.92
V: 0.0000 0.5000 0.5000  4 Pa 2.92, 4 Sc 2.92
V: 0.5000 0.0000 0.5000  4 Pa 2.92, 4 Sc 2.92

Calculated values
size of the total moment = 3.6 μB/cell
symmetry = P4/mmm (123)
DOS(E_F) = 1.8207 states/eV/atom
V = 19.1 Å³ per atom



<b>
The following is a DFT calculation (PBE) of a relaxed structure of ScPaV2.

abc: 4.6799 4.6799 4.6799
angles: 60.00 60.00 60.00
Last column: nearest neighbours and their distance in Å.
Fractional positions:
Sc: 0.0000 0.0000 0.0000  8 V 2.87
Pa: 0.5000 0.5000 0.5000  8 V 2.87
V: 0.2500 0.2500 0.2500  4 Pa 2.87, 4 Sc 2.87
V: 0.7500 0.7500 0.7500  4 Pa 2.87, 4 Sc 2.87

Calculated values
size of the total moment = 0.0 μB/cell
symmetry = Fm-3m (225)
DOS(E_F) = 1.4450 states/eV/atom
V = 18.1 Å³ per atom



Energy relative to the most stable one, in meV per atom: <a> 71; <b> 0



<a>
The following is a DFT calculation (PBE) of a relaxed structure of YScPa.

abc: 7.7459 7.7459 7.7459
angles: 155.31 155.31 35.19
Last column: nearest neighbours and their distance in Å.
Fractional positions:
Y: 0.0000 0.0000 0.0000  4 Y 3.31, 4 Pa 3.40, 4 Sc 3.54
Sc: 0.3201 0.3201 0.0000  4 Pa 3.25, 4 Sc 3.31, 4 Y 3.54
Pa: 0.6674 0.6674 0.0000  4 Sc 3.25, 4 Pa 3.31, 4 Y 3.40

Calculated values
size of the total moment = 0.2 μB/cell
symmetry = I4mm (107)
DOS(E_F) = 1.9345 states/eV/atom
V = 27.0 Å³ per atom



<b>
The following is a DFT calculation (PBE) of a relaxed structure of YScPa.

abc: 3.1454 5.3951 9.6346
angles: 90.00 90.00 90.00
Last column: nearest neighbours and their distance in Å.
Fractional positions:
Y: 0.2500 0.2500 0.0752  6 Y 3.15-3.44, 2 Sc 3.25
Y: 0.7500 0.7500 0.9248  6 Y 3.15-3.44, 2 Sc 3.25
Sc: 0.2500 0.7500 0.2637  2 Sc 3.15, 4 Pa 3.20-3.23, 2 Y 3.25
Sc: 0.7500 0.2500 0.7363  2 Sc 3.15, 4 Pa 3.20-3.23, 2 Y 3.25
Pa: 0.2500 0.2500 0.4432  6 Pa 3.15-3.31, 4 Sc 3.20-3.23
Pa: 0.7500 0.7500 0.5568  6 Pa 3.15-3.31, 4 Sc 3.20-3.23

Calculated values
size of the total moment = 0.0 μB/cell
symmetry = Pmmn (59)
DOS(E_F) = 1.7484 states/eV/atom
V = 27.2 Å³ per atom



<c>
The following is a DFT calculation (PBE) of a relaxed structure of YScPa.

abc: 5.3709 5.3709 3.1778
angles: 90.00 90.00 120.00
Last column: nearest neighbours and their distance in Å.
Fractional positions:
Y: 0.0000 0.0000 0.0000  3 Pa 3.10, 2 Y 3.18
Sc: 0.6667 0.3333 0.5000  2 Sc 3.18, 6 Y 3.48, 6 Pa 3.48
Pa: 0.3333 0.6667 0.0000  3 Y 3.10, 2 Pa 3.18

Calculated values
size of the total moment = 0.0 μB/cell
symmetry = P-6m2 (187)
DOS(E_F) = 1.7429 states/eV/atom
V = 26.5 Å³ per atom



Energy relative to the most stable one, in meV per atom: <a> 0; <b> 128; <c> 112



<a>
The following is a DFT calculation (PBE) of a relaxed structure of YSc2Pa.

abc: 3.3421 3.3421 9.4536
angles: 90.00 90.00 90.00
Last column: nearest neighbours and their distance in Å.
Fractional positions:
Y: 0.0000 0.0000 0.0000  4 Y 3.34, 8 Sc 3.47
Sc: 0.5000 0.5000 0.2690  4 Pa 3.22, 4 Sc 3.34, 4 Y 3.47
Sc: 0.5000 0.5000 0.7310  4 Pa 3.22, 4 Sc 3.34, 4 Y 3.47
Pa: 0.0000 0.0000 0.5000  8 Sc 3.22, 4 Pa 3.34

Calculated values
size of the total moment = 0.0 μB/cell
symmetry = P4/mmm (123)
DOS(E_F) = 1.9208 states/eV/atom
V = 26.4 Å³ per atom



<b>
The following is a DFT calculation (PBE) of a relaxed structure of YSc2Pa.

abc: 4.7417 4.7417 4.6410
angles: 90.00 90.00 90.00
Last column: nearest neighbours and their distance in Å.
Fractional positions:
Y: 0.0000 0.0000 0.0000  8 Sc 3.32, 4 Pa 3.35
Sc: 0.0000 0.5000 0.5000  4 Pa 3.32, 4 Y 3.32, 4 Sc 3.35
Sc: 0.5000 0.0000 0.5000  4 Pa 3.32, 4 Y 3.32, 4 Sc 3.35
Pa: 0.5000 0.5000 0.0000  8 Sc 3.32, 4 Y 3.35

Calculated values
size of the total moment = 0.0 μB/cell
symmetry = P4/mmm (123)
DOS(E_F) = 0.9433 states/eV/atom
V = 26.1 Å³ per atom



Energy relative to the most stable one, in meV per atom: <a> 0; <b> 73



<a>
The following is a DFT calculation (PBE) of a relaxed structure of YSc2Pa.

abc: 11.1992 11.1992 11.1992
angles: 16.93 16.93 16.93
Last column: nearest neighbours and their distance in Å.
Fractional positions:
Y: 0.0000 0.0000 0.0000  6 Y 3.30, 6 Sc 3.42-3.45
Sc: 0.4204 0.4204 0.4204  3 Pa 3.27, 6 Sc 3.30, 3 Y 3.45
Sc: 0.5808 0.5808 0.5808  3 Pa 3.26, 6 Sc 3.30, 3 Y 3.42
Pa: 0.8341 0.8341 0.8341  6 Sc 3.26-3.27, 6 Pa 3.30

Calculated values
size of the total moment = 0.0 μB/cell
symmetry = R3m (160)
DOS(E_F) = 1.8931 states/eV/atom
V = 26.0 Å³ per atom



<b>
The following is a DFT calculation (PBE) of a relaxed structure of YSc2Pa.

abc: 11.0374 11.0374 11.0374
angles: 17.37 17.37 17.37
Last column: nearest neighbours and their distance in Å.
Fractional positions:
Y: 0.0000 0.0000 0.0000  6 Y 3.33, 6 Sc 3.45
Sc: 0.2454 0.2454 0.2454  3 Pa 3.21, 6 Sc 3.33, 3 Y 3.45
Sc: 0.7546 0.7546 0.7546  3 Pa 3.21, 6 Sc 3.33, 3 Y 3.45
Pa: 0.5000 0.5000 0.5000  6 Sc 3.21, 6 Pa 3.33

Calculated values
size of the total moment = 0.0 μB/cell
symmetry = R-3m (166)
DOS(E_F) = 1.6650 states/eV/atom
V = 26.2 Å³ per atom



Energy relative to the most stable one, in meV per atom: <a> 0; <b> 7



<a>
The following is a DFT calculation (PBE) of a relaxed structure of ScPaZn4.

abc: 5.3540 5.3540 5.3540
angles: 60.00 60.00 60.00
Last column: nearest neighbours and their distance in Å.
Fractional positions:
Sc: 0.0000 0.0000 0.0000  12 Zn 3.14, 4 Pa 3.28
Pa: 0.7500 0.7500 0.7500  12 Zn 3.14, 4 Sc 3.28
Zn: 0.3744 0.3744 0.3744  6 Zn 2.66-2.69
Zn: 0.3744 0.3744 0.8769  6 Zn 2.66-2.69
Zn: 0.3744 0.8769 0.3744  6 Zn 2.66-2.69
Zn: 0.8769 0.3744 0.3744  6 Zn 2.66-2.69

Calculated values
size of the total moment = 1.2 μB/cell
symmetry = F-43m (216)
DOS(E_F) = 0.8717 states/eV/atom
V = 18.1 Å³ per atom



<b>
The following is a DFT calculation (PBE) of a relaxed structure of ScPaZn4.

abc: 3.1476 4.4944 7.8257
angles: 90.00 90.00 90.00
Last column: nearest neighbours and their distance in Å.
Fractional positions:
Sc: 0.0000 0.0000 0.0000  12 Zn 2.97-3.01, 2 Sc 3.15
Pa: 0.0000 0.5000 0.5000  12 Zn 3.08-3.10, 2 Pa 3.15
Zn: 0.5000 0.0000 0.3221  3 Zn 2.59-2.78
Zn: 0.5000 0.0000 0.6779  3 Zn 2.59-2.78
Zn: 0.5000 0.5000 0.1585  3 Zn 2.48-2.59
Zn: 0.5000 0.5000 0.8415  3 Zn 2.48-2.59

Calculated values
size of the total moment = 0.7 μB/cell
symmetry = Pmmm (47)
DOS(E_F) = 1.1433 states/eV/atom
V = 18.5 Å³ per atom



Energy relative to the most stable one, in meV per atom: <a> 47; <b> 0



<a>
The following is a DFT calculation (PBE) of a relaxed structure of Sc2PaZn.

abc: 3.2383 3.2383 8.2438
angles: 90.00 90.00 90.00
Last column: nearest neighbours and their distance in Å.
Fractional positions:
Sc: 0.0000 0.0000 0.2167  4 Zn 2.90, 4 Sc 3.24
Sc: 0.0000 0.0000 0.7833  4 Zn 2.90, 4 Sc 3.24
Pa: 0.5000 0.5000 0.5000  4 Pa 3.24, 8 Sc 3.27
Zn: 0.5000 0.5000 0.0000  8 Sc 2.90, 4 Zn 3.24

Calculated values
size of the total moment = 0.0 μB/cell
symmetry = P4/mmm (123)
DOS(E_F) = 1.5922 states/eV/atom
V = 21.6 Å³ per atom



<b>
The following is a DFT calculation (PBE) of a relaxed structure of Sc2PaZn.

abc: 4.5308 4.5308 4.2515
angles: 90.00 90.00 90.00
Last column: nearest neighbours and their distance in Å.
Fractional positions:
Sc: 0.0000 0.5000 0.0000  4 Pa 3.11, 4 Zn 3.11, 4 Sc 3.20
Sc: 0.5000 0.0000 0.0000  4 Pa 3.11, 4 Zn 3.11, 4 Sc 3.20
Pa: 0.0000 0.0000 0.5000  8 Sc 3.11, 4 Zn 3.20
Zn: 0.5000 0.5000 0.5000  8 Sc 3.11, 4 Pa 3.20

Calculated values
size of the total moment = 0.0 μB/cell
symmetry = P4/mmm (123)
DOS(E_F) = 2.0227 states/eV/atom
V = 21.8 Å³ per atom



<c>
The following is a DFT calculation (PBE) of a relaxed structure of Sc2PaZn.

abc: 10.7278 10.7278 10.7278
angles: 16.71 16.71 16.71
Last column: nearest neighbours and their distance in Å.
Fractional positions:
Sc: 0.0957 0.0957 0.0957  3 Zn 2.88, 1 Pa 3.04, 6 Sc 3.12
Sc: 0.9043 0.9043 0.9043  3 Zn 2.88, 1 Pa 3.04, 6 Sc 3.12
Pa: 0.0000 0.0000 0.0000  2 Sc 3.04, 6 Pa 3.12
Zn: 0.5000 0.5000 0.5000  6 Sc 2.88, 6 Zn 3.12

Calculated values
size of the total moment = 0.0 μB/cell
symmetry = R-3m (166)
DOS(E_F) = 1.2267 states/eV/atom
V = 22.3 Å³ per atom



Energy relative to the most stable one, in meV per atom: <a> 0; <b> 212; <c> 233